[1]
Computed, not measured: an optimized crystal structure of KZnP2S at the GGA-PBE level of DFT.

Summary:
Energy   -3.10 eV per atom
Raw formation energy   360.6 meV per atom
Fermi-level density of states   3.82 states/eV/f.u.
Distance to the lowest polymorph of the same formula   0.000 eV/atom

abc: 4.7188 4.7188 5.1459
angles: 90.00 90.00 90.00
Fractional positions:
K 0.0000 0.0000 0.0000
Zn 0.5000 0.5000 0.5000
P 0.0000 0.5000 0.5000
P 0.5000 0.0000 0.5000
S 0.5000 0.5000 0.0000



[2]
Computed, not measured: an optimized crystal structure of KZnP2S at the GGA-PBE level of DFT.

Summary:
Energy   -1.86 eV per atom
Raw formation energy   1599.6 meV per atom
Fermi-level density of states   6.12 states/eV/f.u.
Distance to the lowest polymorph of the same formula   1.239 eV/atom

abc: 6.7887 6.7887 6.0437
angles: 90.00 90.00 90.00
Fractional positions:
K 0.0000 0.0000 0.0000
Zn 0.5000 0.5000 0.5000
P 0.0000 0.5000 0.0000
P 0.5000 0.0000 0.0000
S 0.0000 0.0000 0.5000



[3]
Computed, not measured: an optimized crystal structure of K2ZnPS4 at the GGA-PBE level of DFT.

Summary:
Energy   -3.84 eV per atom
Raw formation energy   -670.6 meV per atom
Fermi-level density of states   4.04 states/eV/f.u.

abc: 13.2410 11.8032 7.2668
angles: 84.38 62.52 33.11
Fractional positions:
K 0.0544 0.0544 0.6956
K 0.3044 0.3044 0.9456
K 0.6956 0.6956 0.0544
K 0.9456 0.9456 0.3044
Zn 0.1250 0.1250 0.1250
Zn 0.8750 0.8750 0.8750
P 0.3750 0.3750 0.3750
P 0.6250 0.6250 0.6250
S 0.0007 0.3536 0.4401
S 0.2944 0.5599 0.6464
S 0.3536 0.0007 0.7056
S 0.4401 0.7056 0.0007
S 0.5599 0.2944 0.9993
S 0.6464 0.9993 0.2944
S 0.7056 0.4401 0.3536
S 0.9993 0.6464 0.5599



[4]
Computed, not measured: an optimized crystal structure of KZnPS4 at the GGA-PBE level of DFT.

Summary:
Energy   -4.13 eV per atom
Raw formation energy   -655.2 meV per atom
Fermi-level density of states   0.00 states/eV/f.u.

abc: 5.9583 7.7283 8.8822
angles: 90.00 106.02 90.00
Fractional positions:
K 0.2307 0.2500 0.1025
K 0.7693 0.7500 0.8975
Zn 0.2892 0.2500 0.6919
Zn 0.7108 0.7500 0.3081
P 0.2044 0.7500 0.2898
P 0.7956 0.2500 0.7102
S 0.0148 0.0404 0.7224
S 0.0148 0.4596 0.7224
S 0.3468 0.7500 0.1017
S 0.4881 0.7500 0.4841
S 0.5119 0.2500 0.5159
S 0.6532 0.2500 0.8983
S 0.9852 0.5404 0.2776
S 0.9852 0.9596 0.2776



[5]
Computed, not measured: an optimized crystal structure of KZrPS2 at the GGA-PBE level of DFT.

Summary:
Energy   -5.42 eV per atom
Raw formation energy   -761.2 meV per atom
Fermi-level density of states   3.49 states/eV/f.u.
Distance to the lowest polymorph of the same formula   0.000 eV/atom

abc: 5.0796 5.0796 5.1172
angles: 90.00 90.00 90.00
Fractional positions:
K 0.0000 0.0000 0.0000
Zr 0.5000 0.5000 0.5000
P 0.5000 0.5000 0.0000
S 0.0000 0.5000 0.5000
S 0.5000 0.0000 0.5000



[6]
Computed, not measured: an optimized crystal structure of KZrP2S at the GGA-PBE level of DFT.

Summary:
Energy   -5.32 eV per atom
Raw formation energy   -403.1 meV per atom
Fermi-level density of states   4.60 states/eV/f.u.
Distance to the lowest polymorph of the same formula   0.000 eV/atom

abc: 5.1061 5.1061 5.0947
angles: 90.00 90.00 90.00
Fractional positions:
K 0.0000 0.0000 0.0000
Zr 0.5000 0.5000 0.5000
P 0.0000 0.5000 0.5000
P 0.5000 0.0000 0.5000
S 0.5000 0.5000 0.0000



[7]
Computed, not measured: an optimized crystal structure of KZrP2S8 at the GGA-PBE level of DFT.

Summary:
Energy   -5.02 eV per atom
Raw formation energy   -566.8 meV per atom
Fermi-level density of states   8.85 states/eV/f.u.

abc: 6.1163 6.1163 9.1213
angles: 90.00 90.00 120.00
Fractional positions:
K 0.0000 0.0000 0.0000
Zr 0.0000 0.0000 0.5000
P 0.3333 0.6667 0.7287
P 0.6667 0.3333 0.2713
S 0.0042 0.3460 0.6643
S 0.3333 0.6667 0.9494
S 0.3418 0.9958 0.6643
S 0.3460 0.3418 0.3357
S 0.6540 0.6582 0.6643
S 0.6582 0.0042 0.3357
S 0.6667 0.3333 0.0506
S 0.9958 0.6540 0.3357



[8]
Computed, not measured: an optimized crystal structure of KZrPS6 at the GGA-PBE level of DFT.

Summary:
Energy   -4.90 eV per atom
Raw formation energy   -476.6 meV per atom
Fermi-level density of states   7.35 states/eV/f.u.

abc: 6.3095 6.3095 7.1879
angles: 90.00 90.00 120.00
Fractional positions:
K 0.0000 0.0000 0.0000
Zr 0.3333 0.6667 0.5000
P 0.6667 0.3333 0.5000
S 0.3879 0.0405 0.6801
S 0.3879 0.3474 0.3199
S 0.6526 0.0405 0.3199
S 0.6526 0.6121 0.6801
S 0.9595 0.3474 0.6801
S 0.9595 0.6121 0.3199



- Which of these has the lowest raw formation energy?
  KZrPS2



- Which of these has the lowest energy?
  KZrPS2